[1]
The following is a DFT calculation (PBE) of a relaxed SrZrMo2 crystal.

POSCAR file:
```
SrZrMo2
1.0
3.051 0.001 0.000
-1.137 2.832 0.000
0.000 0.000 10.172
Sr Mo Zr
1 2 1
Direct
0.000 0.000 0.475 Sr
0.000 0.000 0.020 Mo
0.500 0.500 0.205 Mo
0.500 0.500 0.800 Zr
```

Values from the calculation:
* formation enthalpy at 0 K: 2.3 eV per formula unit
* relative energy among the computed polymorphs: 172 meV per atom

=====

[2]
The following is a DFT calculation (PBE) of a relaxed SrZr2Mo crystal.

POSCAR file:
```
SrZr2Mo
1.0
4.981 0.453 0.000
-1.153 4.866 0.000
0.000 0.000 3.731
Sr Mo Zr
1 1 2
Direct
0.000 0.500 0.500 Sr
0.500 0.000 0.500 Mo
0.000 0.000 0.000 Zr
0.500 0.500 0.000 Zr
```

Values from the calculation:
* formation enthalpy at 0 K: 3.0 eV per formula unit
* relative energy among the computed polymorphs: 551 meV per atom

=====

[3]
The following is a DFT calculation (PBE) of a relaxed Sr2ZrMo crystal.

POSCAR file:
```
Sr2ZrMo
1.0
-2.271 1.059 -1.858
-1.733 -2.001 1.650
-2.308 8.152 7.465
Sr Mo Zr
2 1 1
Direct
0.000 0.000 0.525 Sr
0.000 0.000 0.975 Sr
0.500 0.500 0.750 Mo
0.500 0.500 0.250 Zr
```

Values from the calculation:
* formation enthalpy at 0 K: 4.0 eV per formula unit
* relative energy among the computed polymorphs: 614 meV per atom

=====

[4]
The following is a DFT calculation (PBE) of a relaxed SrZrMo2 crystal.

POSCAR file:
```
SrZrMo2
1.0
4.952 0.000 0.000
0.000 4.952 0.000
0.000 0.000 3.487
Mo Zr Sr
2 1 1
Direct
0.500 0.500 0.000 Mo
0.000 0.000 0.000 Mo
0.000 0.500 0.500 Zr
0.500 0.000 0.500 Sr
```

Values from the calculation:
* formation enthalpy at 0 K: 4.2 eV per formula unit
* relative energy among the computed polymorphs: 647 meV per atom